Entry 1:
DFT (PBE) results for a relaxed LiCeMg2Hg2 crystal.

DFT formation energy: -1.633 eV/f.u.
E: -13.274 eV/cell

Cell lengths 4.8874, 4.8874, 6.7170 Å; angles 90.00, 90.00, 120.00 degrees
Last column: magnetic moment on the atom in μB.
Atoms (fractional coordinates):
Ce (0.0000, 0.0000, 0.0000)  0.88
Mg (0.6667, 0.3333, 0.3246)  0.00
Mg (0.3333, 0.6667, 0.6754)  0.00
Li (0.0000, 0.0000, 0.5000)  0.01
Hg (0.3333, 0.6667, 0.2366)  0.01
Hg (0.6667, 0.3333, 0.7634)  0.01

Entry 2:
DFT (PBE) results for a relaxed KGa2GeRu crystal.

DFT formation energy: 3.056 eV/f.u.
E: -17.988 eV/cell
Excess energy over the best structure of this formula in the dataset: 0.7412 eV per atom

Cell lengths 4.8248, 5.7638, 4.8248 Å; angles 90.00, 90.00, 90.00 degrees
Last column: magnetic moment on the atom in μB.
Atoms (fractional coordinates):
K (0.0000, 0.5000, 0.0000)  0.04
Ga (0.0000, 0.0000, 0.5000)  -0.03
Ga (0.5000, 0.0000, 0.0000)  -0.02
Ru (0.0000, 0.0000, 0.0000)  0.52
Ge (0.5000, 0.5000, 0.5000)  0.29

Entry 3:
DFT (PBE) results for a relaxed LiHfMg3 crystal.

DFT formation energy: 2.278 eV/f.u.
E: -14.373 eV/cell
Excess energy over the best structure of this formula in the dataset: 0.0000 eV per atom

Cell lengths 4.6871, 4.6871, 4.6871 Å; angles 90.00, 90.00, 90.00 degrees
Atoms (fractional coordinates):
Mg (0.0000, 0.0000, 0.5000)
Mg (0.0000, 0.5000, 0.0000)
Mg (0.5000, 0.0000, 0.0000)
Hf (0.5000, 0.5000, 0.5000)
Li (0.0000, 0.0000, 0.0000)

Entry 4:
DFT (PBE) results for a relaxed Rb4Cd2Hg5 crystal.

DFT formation energy: -1.903 eV/f.u.
E: -9.112 eV/cell

Cell lengths 4.8654, 8.8811, 10.4963 Å; angles 96.14, 90.00, 90.00 degrees
Atoms (fractional coordinates):
Hg (0.0000, 0.5000, 0.0000)
Hg (0.0000, 0.1044, 0.8874)
Hg (0.0000, 0.3991, 0.3768)
Hg (0.0000, 0.8956, 0.1126)
Hg (0.0000, 0.6009, 0.6232)
Rb (0.5000, 0.7238, 0.3490)
Rb (0.5000, 0.2295, 0.1406)
Rb (0.5000, 0.2762, 0.6510)
Rb (0.5000, 0.7705, 0.8594)
Cd (0.0000, 0.0637, 0.3787)
Cd (0.0000, 0.9363, 0.6213)

Q: Which formula does entry 3 have?
A: LiHfMg3